# 1
Entry from the Open Quantum Materials Database: GdMgU after structural relaxation (PBE-GGA).

Summary:
* space-group type: F-43m
* theoretical density: 7.18 g/cm³
* volume: 32.33 Å³ per atom
* offset from the most stable computed form: 0 meV/atom
* total moment: 4.43 μB per formula unit
* total DFT energy (no corrections): -4.74 eV/atom

Cell lengths 5.157, 5.157, 5.157 Å; angles 60.00, 60.00, 60.00 degrees
Positions (direct):
Mg 0.000 0.000 0.000
Gd 0.250 0.250 0.250
U 0.750 0.750 0.750

# 2
Entry from the Open Quantum Materials Database: GdYMg6 after structural relaxation (PBE-GGA).

Summary:
* space-group type: Pmm2
* theoretical density: 3.30 g/cm³
* volume: 24.63 Å³ per atom
* total moment: 0.04 μB per formula unit
* total DFT energy (no corrections): -2.64 eV/atom

Cell lengths 5.192, 7.310, 5.192 Å; angles 90.00, 90.00, 90.00 degrees
Positions (direct):
Mg 0.500 0.500 0.254
Mg 0.500 0.250 0.755
Mg 0.500 0.750 0.755
Mg 0.000 0.250 0.245
Mg 0.000 0.000 0.746
Mg 0.000 0.750 0.245
Y 0.000 0.500 0.745
Gd 0.500 0.000 0.255

# 3
Entry from the Open Quantum Materials Database: GdYMg6 after structural relaxation (PBE-GGA).

Summary:
* space-group type: P4/mmm
* theoretical density: 3.31 g/cm³
* volume: 24.58 Å³ per atom
* total moment: 0.04 μB per formula unit
* total DFT energy (no corrections): -2.64 eV/atom

Cell lengths 5.181, 5.181, 7.326 Å; angles 90.00, 90.00, 90.00 degrees
Positions (direct):
Y 0.500 0.500 0.000
Mg 0.000 0.000 0.000
Mg 0.500 0.000 0.750
Mg 0.500 0.500 0.500
Mg 0.500 0.000 0.250
Mg 0.000 0.500 0.250
Mg 0.000 0.500 0.750
Gd 0.000 0.000 0.500

# 4
Entry from the Open Quantum Materials Database: GdMgZr after structural relaxation (PBE-GGA).

Summary:
* space-group type: F-43m
* theoretical density: 5.16 g/cm³
* volume: 29.28 Å³ per atom
* total moment: 0.20 μB per formula unit
* total DFT energy (no corrections): -4.26 eV/atom

Cell lengths 4.990, 4.990, 4.990 Å; angles 60.00, 60.00, 60.00 degrees
Positions (direct):
Mg 0.000 0.000 0.000
Gd 0.250 0.250 0.250
Zr 0.750 0.750 0.750

Copy entry 2 word for word.
Entry from the Open Quantum Materials Database: GdYMg6 after structural relaxation (PBE-GGA).

Summary:
* space-group type: Pmm2
* theoretical density: 3.30 g/cm³
* volume: 24.63 Å³ per atom
* total moment: 0.04 μB per formula unit
* total DFT energy (no corrections): -2.64 eV/atom

Cell lengths 5.192, 7.310, 5.192 Å; angles 90.00, 90.00, 90.00 degrees
Positions (direct):
Mg 0.500 0.500 0.254
Mg 0.500 0.250 0.755
Mg 0.500 0.750 0.755
Mg 0.000 0.250 0.245
Mg 0.000 0.000 0.746
Mg 0.000 0.750 0.245
Y 0.000 0.500 0.745
Gd 0.500 0.000 0.255